# 1
An optimized crystal structure of RbMgCd2Cu, computed with GGA-PBE.

Structure (CIF):
```
data_RbMgCd2Cu
_symmetry_space_group_name_H-M 'P 4/m m m'
_symmetry_Int_Tables_number 123
_symmetry_space_group_name_Hall '-P 4 2'
_cell_length_a 5.239
_cell_length_b 5.239
_cell_length_c 5.145
_cell_angle_alpha 90.00
_cell_angle_beta 90.00
_cell_angle_gamma 90.00
loop_
_atom_site_label
_atom_site_fract_x
_atom_site_fract_y
_atom_site_fract_z
_atom_site_occupancy
Rb1 0.000 0.000 0.000 1
Mg1 0.500 0.500 0.000 1
Cd1 0.000 0.500 0.500 1
Cu1 0.500 0.500 0.500 1
```

Calculated values
**Energy of formation**: 0.07 eV per atom

# 2
An optimized crystal structure of ErTlInPb, computed with GGA-PBE.

Structure (CIF):
```
data_ErTlInPb
_symmetry_space_group_name_H-M 'P m m m'
_symmetry_Int_Tables_number 47
_cell_length_a 4.556
_cell_length_b 4.734
_cell_length_c 4.976
_cell_angle_alpha 90.00
_cell_angle_beta 90.00
_cell_angle_gamma 90.00
loop_
_symmetry_equiv_pos_as_xyz
'x,y,z'
'-x,-y,-z'
'-x,-y,z'
'x,y,-z'
'x,-y,-z'
'-x,y,z'
'-x,y,-z'
'x,-y,z'
loop_
_atom_site_label
_atom_site_fract_x
_atom_site_fract_y
_atom_site_fract_z
_atom_site_occupancy
Er1 0.000 0.000 0.000 1
Tl1 0.500 0.000 0.500 1
In1 0.000 0.500 0.500 1
Pb1 0.500 0.500 0.000 1
```

Calculated values
**Energy relative to the lowest polymorph listed for this composition**: 0.000 eV per atom
**Energy of formation**: -0.26 eV per atom

# 3
An optimized crystal structure of LiBeAl, computed with GGA-PBE.

Structure (CIF):
```
data_LiBeAl
_symmetry_space_group_name_H-M 'I m m 2'
_symmetry_Int_Tables_number 44
_cell_length_a 2.680
_cell_length_b 3.748
_cell_length_c 7.718
_cell_angle_alpha 90.00
_cell_angle_beta 90.00
_cell_angle_gamma 90.00
loop_
_symmetry_equiv_pos_as_xyz
'x,y,z'
'-x,-y,z'
'-x,y,z'
'x,-y,z'
'x+1/2,y+1/2,z+1/2'
'-x+1/2,-y+1/2,z+1/2'
'-x+1/2,y+1/2,z+1/2'
'x+1/2,-y+1/2,z+1/2'
loop_
_atom_site_label
_atom_site_fract_x
_atom_site_fract_y
_atom_site_fract_z
_atom_site_occupancy
Li1 0.000 0.000 0.000 1
Be1 0.000 0.000 0.663 1
Al1 0.000 0.000 0.327 1
```

Calculated values
**Energy relative to the lowest polymorph listed for this composition**: 0.109 eV per atom
**Energy of formation**: 0.12 eV per atom

# 4
An optimized crystal structure of La2AgIrO6, computed with GGA-PBE.

Structure (CIF):
```
data_La2AgIrO6
_symmetry_space_group_name_H-M 'P -1'
_symmetry_Int_Tables_number 2
_cell_length_a 5.725
_cell_length_b 5.735
_cell_length_c 5.739
_cell_angle_alpha 63.79
_cell_angle_beta 63.91
_cell_angle_gamma 63.83
loop_
_symmetry_equiv_pos_as_xyz
'x,y,z'
'-x,-y,-z'
loop_
_atom_site_label
_atom_site_fract_x
_atom_site_fract_y
_atom_site_fract_z
_atom_site_occupancy
La1 0.235 0.235 0.235 1
Ag1 0.500 0.500 0.500 1
Ir1 0.000 0.000 0.000 1
O1 0.111 0.339 0.804 1
O2 0.197 0.889 0.661 1
O3 0.339 0.803 0.112 1
```

Calculated values
**Raw formation energy**: -1.953 eV per atom

# 5
An optimized crystal structure of Sr2Bi4Sb, computed with GGA-PBE.

Structure (CIF):
```
data_Sr2Bi4Sb
_symmetry_space_group_name_H-M 'C 1 2/m 1'
_symmetry_Int_Tables_number 12
_cell_length_a 9.715
_cell_length_b 9.627
_cell_length_c 7.125
_cell_angle_alpha 90.00
_cell_angle_beta 132.53
_cell_angle_gamma 90.00
loop_
_symmetry_equiv_pos_as_xyz
'x,y,z'
'-x,-y,-z'
'-x,y,-z'
'x,-y,z'
'x+1/2,y+1/2,z'
'-x+1/2,-y+1/2,-z'
'-x+1/2,y+1/2,-z'
'x+1/2,-y+1/2,z'
loop_
_atom_site_label
_atom_site_fract_x
_atom_site_fract_y
_atom_site_fract_z
_atom_site_occupancy
Sr1 0.250 0.250 0.000 1
Bi1 0.000 0.000 0.500 1
Bi2 0.000 0.500 0.500 1
Bi3 0.250 0.250 0.500 1
Sb1 0.000 0.000 0.000 1
```

Calculated values
**Raw formation energy**: -0.459 eV per atom

# 6
An optimized crystal structure of CaPm3Pr, computed with GGA-PBE.

Structure (CIF):
```
data_CaPm3Pr
_symmetry_space_group_name_H-M 'R -3'
_symmetry_Int_Tables_number 148
_symmetry_space_group_name_Hall '-R 3'
_cell_length_a 6.1927
_cell_length_b 6.1927
_cell_length_c 35.9846
_cell_angle_alpha 90.00
_cell_angle_beta 90.00
_cell_angle_gamma 120.00
loop_
_atom_site_label
_atom_site_fract_x
_atom_site_fract_y
_atom_site_fract_z
_atom_site_occupancy
Ca1 0.0000 0.0000 0.1662 1
Pm1 0.0001 0.3359 0.2528 1
Pr1 0.0000 0.0000 0.3336 1
```

Calculated values
**Energy of formation**: 0.36 eV per atom

# 7
An optimized crystal structure of CdTc2Ir, computed with GGA-PBE.

Structure (CIF):
```
data_CdTc2Ir
_symmetry_space_group_name_H-M 'C m m m'
_symmetry_Int_Tables_number 65
_symmetry_space_group_name_Hall '-C 2 2'
_cell_length_a 5.319
_cell_length_b 8.520
_cell_length_c 2.765
_cell_angle_alpha 90.00
_cell_angle_beta 90.00
_cell_angle_gamma 90.00
loop_
_atom_site_label
_atom_site_fract_x
_atom_site_fract_y
_atom_site_fract_z
_atom_site_occupancy
Cd1 0.000 0.000 0.000 1
Tc1 0.250 0.250 0.500 1
Ir1 0.000 0.500 0.000 1
```

Calculated values
**Energy of formation**: 0.37 eV per atom

# 8
An optimized crystal structure of IrSe3, computed with GGA-PBE.

Structure (CIF):
```
data_IrSe3
_symmetry_space_group_name_H-M 'P m -3 m'
_symmetry_Int_Tables_number 221
_symmetry_space_group_name_Hall '-P 4 2 3'
_cell_length_a 4.175
_cell_length_b 4.175
_cell_length_c 4.175
_cell_angle_alpha 90.00
_cell_angle_beta 90.00
_cell_angle_gamma 90.00
loop_
_atom_site_label
_atom_site_fract_x
_atom_site_fract_y
_atom_site_fract_z
_atom_site_occupancy
Ir1 0.000 0.000 0.000 1
Se1 0.000 0.500 0.500 1
```

Calculated values
**Energy relative to the lowest polymorph listed for this composition**: 1.099 eV per atom
**Raw formation energy**: 0.920 eV per atom

The raw total energy results, record by record, are as follows: -1.6238; -3.6035; -3.0120; -7.0847; -3.7462; -3.8510; -7.2572; -3.9082 eV per atom.